(1)
# LaCuP2 (GGA-PBE, optimized geometry)
# Energy of formation in meV per atom: -701
# Total moment in μB/f.u.: 0.0
# Space-group type: Immm
data_LaCuP2
_cell_length_a 4.8957
_cell_length_b 4.8957
_cell_length_c 4.8957
_cell_angle_alpha 131.51
_cell_angle_beta 104.62
_cell_angle_gamma 94.87
_symmetry_space_group_name_H-M 'P 1'
_symmetry_Int_Tables_number 1
loop_
_symmetry_equiv_pos_as_xyz
'x,y,z'
loop_
_atom_site_label
_atom_site_fract_x
_atom_site_fract_y
_atom_site_fract_z
Cu1 0.7500 0.2500 0.5000
La1 0.2500 0.7500 0.5000
P1 0.9248 0.9248 0.0000
P2 0.5752 0.5752 0.0000


(2)
# Zn2Bi4P (GGA-PBE, optimized geometry)
# Energy of formation in meV per atom: 428
# Total moment in μB/f.u.: 0.0
# Space-group type: I4/mmm
data_Zn2Bi4P
_cell_length_a 5.5034
_cell_length_b 5.5034
_cell_length_c 7.9346
_cell_angle_alpha 69.71
_cell_angle_beta 69.71
_cell_angle_gamma 90.00
_symmetry_space_group_name_H-M 'P 1'
_symmetry_Int_Tables_number 1
loop_
_symmetry_equiv_pos_as_xyz
'x,y,z'
loop_
_atom_site_label
_atom_site_fract_x
_atom_site_fract_y
_atom_site_fract_z
P1 0.0000 0.0000 0.0000
Zn1 0.5948 0.5948 0.8104
Zn2 0.4052 0.4052 0.1896
Bi1 0.7914 0.7914 0.4173
Bi2 0.2086 0.2086 0.5827
Bi3 0.0000 0.5000 0.0000
Bi4 0.5000 0.0000 0.0000


(3)
# BaNbSbI2 (GGA-PBE, optimized geometry)
# ΔE to the lowest computed polymorph in meV per atom: 1165.4
# Total moment in μB/f.u.: 2.0
# Space-group type: P4/mmm
data_BaNbSbI2
_cell_length_a 6.5163
_cell_length_b 6.5163
_cell_length_c 6.8509
_cell_angle_alpha 90.00
_cell_angle_beta 90.00
_cell_angle_gamma 90.00
_symmetry_space_group_name_H-M 'P 1'
_symmetry_Int_Tables_number 1
loop_
_symmetry_equiv_pos_as_xyz
'x,y,z'
loop_
_atom_site_label
_atom_site_fract_x
_atom_site_fract_y
_atom_site_fract_z
I1 0.0000 0.5000 0.0000
I2 0.5000 0.0000 0.0000
Sb1 0.0000 0.0000 0.5000
Nb1 0.5000 0.5000 0.5000
Ba1 0.0000 0.0000 0.0000